Compound: Ac2Cd4GaHg3
Source: Alexandria via LeMat-Bulk
Functional: GGA-PBE
Structure: relaxed

Output
- space-group type = P-4m2, No. 115
- energy of formation from the pure elements (meV per atom) = -295
- theoretical density (g/cm³) = 9.73

abc: 4.7281 4.7281 12.0261
angles: 90.00 90.00 90.00
Closest atoms and distances in Å follow each position.
Fractional positions:
1 Cd 0.0000 0.5000 0.3736  3 Hg 2.78-2.81, 2 Ga 2.81
2 Cd 0.0000 0.0000 0.0000  4 Hg 2.92
3 Cd 0.5000 0.0000 0.6264  3 Hg 2.78-2.81, 2 Ga 2.81
4 Cd 0.5000 0.5000 0.0000  4 Hg 2.92
5 Hg 0.0000 0.5000 0.1428  5 Cd 2.78-2.92
6 Hg 0.0000 0.0000 0.5000  4 Cd 2.81
7 Hg 0.5000 0.0000 0.8572  5 Cd 2.78-2.92
8 Ac 0.0000 0.5000 0.7386  8 Cd 3.60-3.93, 6 Hg 3.64-3.72, 2 Ga 3.72
9 Ac 0.5000 0.0000 0.2614  8 Cd 3.60-3.93, 6 Hg 3.64-3.72, 2 Ga 3.72
10 Ga 0.5000 0.5000 0.5000  4 Cd 2.81